a) First-principles (SCAN) data for a PBEsol-optimized structure of Co2SiBr, as listed in Alexandria.

Lattice parameters (Å, degrees): 3.1760 3.1760 5.3567 90.00 90.00 90.00
Positions (direct):
Si 0.0000 0.0000 0.4044
Co 0.0000 0.0000 0.9811
Co 0.5000 0.5000 0.2726
Br 0.5000 0.5000 0.8419

Symmetry: P4mm (99)
DOS(E_F) in states/eV/cell: 2.97
Crystal system: tetragonal

b) First-principles (SCAN) data for a PBEsol-optimized structure of Co2SiBr, as listed in Alexandria.

Lattice parameters (Å, degrees): 3.4869 3.4869 5.8805 90.02 107.23 119.99
Last column: magnetic moment on the atom in μB.
Positions (direct):
Co 0.9435 0.7218 0.6654  1.03
Co 0.0565 0.2782 0.3346  1.03
Si 0.5000 0.0000 0.5000  -0.09
Br 0.5000 0.5000 0.0000  0.04

Symmetry: R-3m (166)
DOS(E_F) in states/eV/cell: 1.90
Crystal system: trigonal

The structure with the greatest stability is b).

a) First-principles (SCAN) data for a PBEsol-optimized structure of CoTe2Br, as listed in Alexandria.

Lattice parameters (Å, degrees): 3.7502 3.7502 7.7218 75.95 75.95 60.00
Positions (direct):
Te 0.7240 0.7240 0.8279
Te 0.2760 0.2760 0.1721
Co 0.0000 0.0000 0.0000
Br 0.5000 0.5000 0.5000

Symmetry: R-3m (166)
DOS(E_F) in states/eV/cell: 2.66
Crystal system: trigonal

b) First-principles (SCAN) data for a PBEsol-optimized structure of CoTe2Br, as listed in Alexandria.

Lattice parameters (Å, degrees): 3.2641 3.2641 7.9102 90.00 90.00 90.00
Last column: magnetic moment on the atom in μB.
Positions (direct):
Br 0.5000 0.5000 0.0000  -0.03
Te 0.0000 0.0000 0.6885  -0.05
Te 0.0000 0.0000 0.3115  -0.05
Co 0.5000 0.5000 0.5000  0.92

Symmetry: P4/mmm (123)
DOS(E_F) in states/eV/cell: 2.78
Crystal system: tetragonal

The structure with the greatest stability is a).

a) First-principles (SCAN) data for a PBEsol-optimized structure of Y2CoBr, as listed in Alexandria.

Lattice parameters (Å, degrees): 3.9057 3.9057 6.1519 108.51 108.51 90.00
Positions (direct):
Co 0.2500 0.7500 0.5000
Br 0.5000 0.5000 0.0000
Y 0.0000 0.0000 0.0000
Y 0.7500 0.2500 0.5000

Symmetry: I-4m2 (119)
DOS(E_F) in states/eV/cell: 1.90
Crystal system: tetragonal

b) First-principles (SCAN) data for a PBEsol-optimized structure of Y2CoBr, as listed in Alexandria.

Lattice parameters (Å, degrees): 3.4603 4.5181 5.6209 96.31 107.93 90.00
Last column: magnetic moment on the atom in μB.
Positions (direct):
Y 0.9777 0.1493 0.9553  -0.23
Y 0.2583 0.5905 0.5166  -0.22
Co 0.7288 0.0889 0.4575  1.40
Br 0.5353 0.6712 0.0706  0.00

Symmetry: Cm (8)
DOS(E_F) in states/eV/cell: 2.79
Crystal system: monoclinic

The structure with the greatest stability is b).

a) First-principles (SCAN) data for a PBEsol-optimized structure of ZrCoBr2, as listed in Alexandria.

Lattice parameters (Å, degrees): 3.3571 5.0140 5.8160 89.70 106.77 90.00
Positions (direct):
Zr 0.2645 0.1218 0.5290
Br 0.6576 0.7637 0.3153
Br 0.9450 0.3254 0.8900
Co 0.6329 0.2891 0.2657

Symmetry: Cm (8)
DOS(E_F) in states/eV/cell: 0.67
Crystal system: monoclinic

b) First-principles (SCAN) data for a PBEsol-optimized structure of ZrCoBr2, as listed in Alexandria.

Lattice parameters (Å, degrees): 3.3846 5.3041 5.3082 119.16 107.42 92.22
Last column: magnetic moment on the atom in μB.
Positions (direct):
Br 0.0000 0.0000 0.5000  0.01
Br 0.5000 0.5000 0.5000  0.01
Zr 0.5000 0.5000 0.0000  -0.07
Co 0.0000 0.0000 0.0000  1.85

Symmetry: C2/m (12)
DOS(E_F) in states/eV/cell: 2.24
Crystal system: monoclinic

The structure with the greatest stability is a).